Entry 1:
# RbCdAs2O6 (PBE, relaxed)
data_RbCdAs2O6
_chemical_formula_sum 'Rb4 Cd4 As8 O24'
_symmetry_space_group_name_H-M 'C 1 2/c 1'
_symmetry_Int_Tables_number 15
_cell_length_a 11.2787
_cell_length_b 11.2160
_cell_length_c 6.3914
_cell_angle_alpha 90.00
_cell_angle_beta 112.25
_cell_angle_gamma 90.00
loop_
_symmetry_equiv_pos_as_xyz
'x,y,z'
'-x,-y,-z'
'-x,y,-z+1/2'
'x,-y,z+1/2'
'x+1/2,y+1/2,z'
'-x+1/2,-y+1/2,-z'
'-x+1/2,y+1/2,-z+1/2'
'x+1/2,-y+1/2,z+1/2'
loop_
_atom_site_label
_atom_site_fract_x
_atom_site_fract_y
_atom_site_fract_z
Rb1 0.0000 0.1152 0.2500
Cd1 0.0000 0.2577 0.7500
As1 0.2064 0.4264 0.1415
O1 0.1126 0.3006 0.0999
O2 0.1337 0.1056 0.7259
O3 0.1660 0.4737 0.8332
# Crystal system = monoclinic
# Total energy = -5.3208 eV/atom

Entry 2:
# CdAsRhO6 (PBE, relaxed)
data_CdAsRhO6
_chemical_formula_sum 'Cd2 As2 Rh2 O12'
_symmetry_space_group_name_H-M 'P -3 1 c'
_symmetry_Int_Tables_number 163
_symmetry_space_group_name_Hall '-P 3 2c'
_cell_length_a 5.0982
_cell_length_b 5.0982
_cell_length_c 9.7463
_cell_angle_alpha 90.00
_cell_angle_beta 90.00
_cell_angle_gamma 120.00
loop_
_atom_site_label
_atom_site_fract_x
_atom_site_fract_y
_atom_site_fract_z
Cd1 0.0000 0.0000 0.0000
As1 0.3333 0.6667 0.2500
Rh1 0.3333 0.6667 0.7500
O1 0.0161 0.3759 0.1430
# Crystal system = trigonal
# Total energy = -5.6865 eV/atom

Entry 3:
# Cd2AsRhO6 (PBE, relaxed)
data_Cd2AsRhO6
_chemical_formula_sum 'Cd2 As1 Rh1 O6'
_symmetry_space_group_name_H-M 'P 4 m m'
_symmetry_Int_Tables_number 99
_cell_length_a 5.2738
_cell_length_b 5.2738
_cell_length_c 4.6846
_cell_angle_alpha 90.00
_cell_angle_beta 90.00
_cell_angle_gamma 90.00
loop_
_symmetry_equiv_pos_as_xyz
'x,y,z'
'-y,x,z'
'-x,-y,z'
'y,-x,z'
'-x,y,z'
'y,x,z'
'x,-y,z'
'-y,-x,z'
loop_
_atom_site_label
_atom_site_fract_x
_atom_site_fract_y
_atom_site_fract_z
Cd1 0.0000 0.5000 0.0000
As1 0.0000 0.0000 0.5554
Rh1 0.5000 0.5000 0.5821
O1 0.0000 0.0000 0.1854
O2 0.2371 0.2371 0.6800
O3 0.5000 0.5000 0.1558
# Crystal system = tetragonal
# Total energy = -5.1113 eV/atom

Entry 4:
# CdAsRh2O (PBE, relaxed)
data_CdAsRh2O
_chemical_formula_sum 'Cd1 As1 Rh2 O1'
_symmetry_space_group_name_H-M 'P 4/m m m'
_symmetry_Int_Tables_number 123
_symmetry_space_group_name_Hall '-P 4 2'
_cell_length_a 4.5374
_cell_length_b 4.5374
_cell_length_c 5.2221
_cell_angle_alpha 90.00
_cell_angle_beta 90.00
_cell_angle_gamma 90.00
loop_
_atom_site_label
_atom_site_fract_x
_atom_site_fract_y
_atom_site_fract_z
Cd1 0.0000 0.0000 0.0000
As1 0.0000 0.0000 0.5000
Rh1 0.0000 0.5000 0.5000
O1 0.5000 0.5000 0.0000
# Crystal system = tetragonal
# Total energy = -4.1744 eV/atom